[1]
VASP calculation (GGA-PBE) on Tl3PtI after structural relaxation.

DOS at the Fermi energy: 0.246 states/eV/atom
space-group type: I-4m2 (119)
raw formation energy: -46 meV/atom

Lattice parameters (Å, degrees): 9.888 9.888 9.888 141.32 141.32 55.85
Atoms (fractional coordinates):
Tl (0.196, 0.196, 0.000)
Tl (0.366, 0.620, 0.746)
Tl (0.380, 0.126, 0.746)
Tl (0.380, 0.634, 0.254)
Tl (0.804, 0.804, 0.000)
Tl (0.874, 0.620, 0.254)
Pt (0.250, 0.750, 0.500)
Pt (0.500, 0.500, 0.000)
I (0.625, 0.125, 0.500)
I (0.875, 0.375, 0.500)


[2]
VASP calculation (GGA-PBE) on Tl3PtI after structural relaxation.

DOS at the Fermi energy: 0.156 states/eV/atom
space-group type: R-3 (148)
raw formation energy: -169 meV/atom

Lattice parameters (Å, degrees): 8.052 8.052 8.052 55.78 55.78 55.78
Atoms (fractional coordinates):
Tl (0.096, 0.581, 0.594)
Tl (0.406, 0.904, 0.419)
Tl (0.419, 0.406, 0.904)
Tl (0.581, 0.594, 0.096)
Tl (0.594, 0.096, 0.581)
Tl (0.904, 0.419, 0.406)
Pt (0.329, 0.329, 0.329)
Pt (0.671, 0.671, 0.671)
I (0.100, 0.100, 0.100)
I (0.900, 0.900, 0.900)


[3]
VASP calculation (GGA-PBE) on Y2TlPtI after structural relaxation.

DOS at the Fermi energy: 0.731 states/eV/atom
space-group type: P4/mmm (123)
raw formation energy: 737 meV/atom

Lattice parameters (Å, degrees): 5.761 5.761 5.686 90.00 90.00 90.00
Atoms (fractional coordinates):
Y (0.000, 0.500, 0.000)
Y (0.500, 0.000, 0.000)
Tl (0.000, 0.000, 0.000)
Pt (0.500, 0.500, 0.500)
I (0.000, 0.000, 0.500)


[4]
VASP calculation (GGA-PBE) on Tl2ZnPtI after structural relaxation.

DOS at the Fermi energy: 0.316 states/eV/atom
space-group type: P4/mmm (123)
raw formation energy: -293 meV/atom

Lattice parameters (Å, degrees): 5.457 5.457 4.981 90.00 90.00 90.00
Atoms (fractional coordinates):
Tl (0.000, 0.500, 0.000)
Tl (0.500, 0.000, 0.000)
Zn (0.000, 0.000, 0.500)
Pt (0.000, 0.000, 0.000)
I (0.500, 0.500, 0.500)